# 1
## MnV2Te6 (PBE-GGA)

Data for a geometry-optimized MnV2Te6 structure.

Properties
* total moment: 11.3 μB/cell
* E above lowest polymorph: 0.61 eV/f.u.

abc: 6.3892 6.3892 11.9337
angles: 90.00 90.00 90.00
Last column: nearest neighbours and their distance in Å.
Fractional coordinates of all 18 atoms:
Mn (0.0000, 0.0000, 0.0000)  6 Te 2.69-2.72
Mn (0.5000, 0.5000, 0.5000)  6 Te 2.69-2.72
V (0.0000, 0.0000, 0.3316)  6 Te 2.66-2.72
V (0.0000, 0.0000, 0.6684)  6 Te 2.66-2.72
V (0.5000, 0.5000, 0.1684)  6 Te 2.66-2.72
V (0.5000, 0.5000, 0.8316)  6 Te 2.66-2.72
Te (0.1994, 0.1994, 0.1678)  2 V 2.66-2.72, 1 Mn 2.69
Te (0.1988, 0.1988, 0.5000)  2 V 2.69, 1 Mn 2.72
Te (0.1994, 0.1994, 0.8322)  2 V 2.66-2.72, 1 Mn 2.69
Te (0.3012, 0.6988, 0.0000)  2 V 2.69, 1 Mn 2.72
Te (0.3006, 0.6994, 0.3322)  2 V 2.66-2.72, 1 Mn 2.69
Te (0.3006, 0.6994, 0.6678)  2 V 2.66-2.72, 1 Mn 2.69
Te (0.6988, 0.3012, 0.0000)  2 V 2.69, 1 Mn 2.72
Te (0.6994, 0.3006, 0.3322)  2 V 2.66-2.72, 1 Mn 2.69
Te (0.6994, 0.3006, 0.6678)  2 V 2.66-2.72, 1 Mn 2.69
Te (0.8006, 0.8006, 0.1678)  2 V 2.66-2.72, 1 Mn 2.69
Te (0.8012, 0.8012, 0.5000)  2 V 2.69, 1 Mn 2.72
Te (0.8006, 0.8006, 0.8322)  2 V 2.66-2.72, 1 Mn 2.69

---

# 2
## MnVTe3 (PBE-GGA)

Data for a geometry-optimized MnVTe3 structure.

Properties
* total moment: 12.0 μB/cell
* E above lowest polymorph: 0.00 eV/f.u.

abc: 6.6773 6.6773 7.9897
angles: 106.52 106.52 49.30
Last column: nearest neighbours and their distance in Å.
Fractional coordinates of all 10 atoms:
Mn (0.9999, 0.9999, 0.2164)  5 Te 2.72-2.79
Mn (0.0001, 0.0001, 0.7836)  5 Te 2.72-2.79
V (0.3499, 0.3499, 0.4160)  6 Te 2.69-2.85
V (0.6501, 0.6501, 0.5840)  6 Te 2.69-2.85
Te (0.1581, 0.1581, 0.5499)  2 Mn 2.75-3.07, 3 V 2.80-2.85
Te (0.1822, 0.1822, 0.0872)  2 Mn 2.72, 1 V 2.77
Te (0.4915, 0.4915, 0.7565)  2 V 2.69-2.73, 2 Mn 2.79
Te (0.5085, 0.5085, 0.2435)  2 V 2.69-2.73, 2 Mn 2.79
Te (0.8178, 0.8178, 0.9128)  2 Mn 2.72, 1 V 2.77
Te (0.8419, 0.8419, 0.4501)  2 Mn 2.75-3.07, 3 V 2.80-2.85

---

# 3
## Mn2VTe4 (PBE-GGA)

Data for a geometry-optimized Mn2VTe4 structure.

Properties
* total moment: 18.5 μB/cell
* E above lowest polymorph: 0.00 eV/f.u.

abc: 13.7846 3.9951 6.9709
angles: 90.00 119.58 90.00
Last column: nearest neighbours and their distance in Å.
Fractional coordinates of all 14 atoms:
Mn (0.2486, 0.0000, 0.2217)  6 Te 2.72-2.89, 1 V 3.02
Mn (0.2514, 0.5000, 0.7783)  6 Te 2.72-2.89, 1 V 3.02
Mn (0.7486, 0.5000, 0.2217)  6 Te 2.72-2.89, 1 V 3.02
Mn (0.7514, 0.0000, 0.7783)  6 Te 2.72-2.89, 1 V 3.02
V (0.0000, 0.5000, 0.5000)  6 Te 2.75-2.77, 2 Mn 3.02
V (0.5000, 0.0000, 0.5000)  6 Te 2.75-2.77, 2 Mn 3.02
Te (0.1130, 0.5000, 0.9530)  3 Mn 2.72-2.75, 1 V 2.75
Te (0.1290, 0.0000, 0.4645)  2 V 2.77, 3 Mn 2.82-2.89
Te (0.3710, 0.5000, 0.5355)  2 V 2.77, 3 Mn 2.82-2.89
Te (0.3870, 0.0000, 0.0470)  3 Mn 2.72-2.75, 1 V 2.75
Te (0.6130, 0.0000, 0.9530)  3 Mn 2.72-2.75, 1 V 2.75
Te (0.6290, 0.5000, 0.4645)  2 V 2.77, 3 Mn 2.82-2.89
Te (0.8710, 0.0000, 0.5355)  2 V 2.77, 3 Mn 2.82-2.89
Te (0.8870, 0.5000, 0.0470)  3 Mn 2.72-2.75, 1 V 2.75

---

Number 1: D(E_F) 0.618 states/eV/atom. Number 2: D(E_F) 0.440 states/eV/atom. Number 3: D(E_F) 0.712 states/eV/atom.